(1)
The following is a DFT calculation (GGA-PBE) of La8AgPt6 after structural relaxation.

Structure (CIF):
```
data_La8AgPt6
_chemical_formula_sum 'La8 Ag1 Pt6'
_symmetry_space_group_name_H-M 'P -3'
_symmetry_Int_Tables_number 147
_cell_length_a 10.4005
_cell_length_b 10.4005
_cell_length_c 4.4365
_cell_angle_alpha 90.00
_cell_angle_beta 90.00
_cell_angle_gamma 120.00
loop_
_symmetry_equiv_pos_as_xyz
'x,y,z'
'-x,-y,-z'
'-y,x-y,z'
'y,-x+y,-z'
'-x+y,-x,z'
'x-y,x,-z'
loop_
_atom_site_label
_atom_site_type_symbol
_atom_site_fract_x
_atom_site_fract_y
_atom_site_fract_z
La1 La 0.0574 0.3162 0.2557
La2 La 0.3333 0.6667 0.7505
Ag1 Ag 0.0000 0.0000 0.0000
Pt1 Pt 0.0820 0.6129 0.2453
```

Output
Calculated formation energy: -0.880 eV per atom

(2)
The following is a DFT calculation (GGA-PBE) of La8AgPt2 after structural relaxation.

Structure (CIF):
```
data_La8AgPt2
_chemical_formula_sum 'La16 Ag2 Pt4'
_symmetry_space_group_name_H-M 'C 1 m 1'
_symmetry_Int_Tables_number 8
_cell_length_a 8.7330
_cell_length_b 14.1002
_cell_length_c 6.0026
_cell_angle_alpha 90.00
_cell_angle_beta 108.51
_cell_angle_gamma 90.00
loop_
_symmetry_equiv_pos_as_xyz
'x,y,z'
'x,-y,z'
'x+1/2,y+1/2,z'
'x+1/2,-y+1/2,z'
loop_
_atom_site_label
_atom_site_type_symbol
_atom_site_fract_x
_atom_site_fract_y
_atom_site_fract_z
La1 La 0.0000 0.0000 0.0000
La2 La 0.1067 0.2653 0.8138
La3 La 0.2144 0.0000 0.6281
La4 La 0.3241 0.3812 0.3812
La5 La 0.3896 0.1189 0.2465
Ag1 Ag 0.1073 0.5000 0.8115
Pt1 Pt 0.1069 0.2143 0.3140
```

Output
Calculated formation energy: -0.402 eV per atom

(3)
The following is a DFT calculation (GGA-PBE) of La2AgPt after structural relaxation.

Structure (CIF):
```
data_La2AgPt
_chemical_formula_sum 'La2 Ag1 Pt1'
_symmetry_space_group_name_H-M 'P 4/m m m'
_symmetry_Int_Tables_number 123
_symmetry_space_group_name_Hall '-P 4 2'
_cell_length_a 5.2577
_cell_length_b 5.2577
_cell_length_c 3.7562
_cell_angle_alpha 90.00
_cell_angle_beta 90.00
_cell_angle_gamma 90.00
loop_
_atom_site_label
_atom_site_type_symbol
_atom_site_fract_x
_atom_site_fract_y
_atom_site_fract_z
La1 La 0.0000 0.5000 0.0000
Ag1 Ag 0.0000 0.0000 0.5000
Pt1 Pt 0.5000 0.5000 0.5000
```

Output
Calculated formation energy: -0.658 eV per atom

(4)
The following is a DFT calculation (GGA-PBE) of La6AgPt after structural relaxation.

Structure (CIF):
```
data_La6AgPt
_chemical_formula_sum 'La12 Ag2 Pt2'
_symmetry_space_group_name_H-M 'C 1 2/m 1'
_symmetry_Int_Tables_number 12
_cell_length_a 7.5488
_cell_length_b 7.5432
_cell_length_c 9.5409
_cell_angle_alpha 90.00
_cell_angle_beta 113.12
_cell_angle_gamma 90.00
loop_
_symmetry_equiv_pos_as_xyz
'x,y,z'
'-x,-y,-z'
'-x,y,-z'
'x,-y,z'
'x+1/2,y+1/2,z'
'-x+1/2,-y+1/2,-z'
'-x+1/2,y+1/2,-z'
'x+1/2,-y+1/2,z'
loop_
_atom_site_label
_atom_site_type_symbol
_atom_site_fract_x
_atom_site_fract_y
_atom_site_fract_z
La1 La 0.1469 0.2485 0.2964
La2 La 0.2441 0.5000 0.0020
Ag1 Ag 0.0000 0.5000 0.5000
Pt1 Pt 0.0000 0.0000 0.5000
```

Output
Calculated formation energy: -0.311 eV per atom
ΔE to the lowest computed polymorph: 0.0 kJ/mol of atoms

Copy entry 1 word for word.
The following is a DFT calculation (GGA-PBE) of La8AgPt6 after structural relaxation.

Structure (CIF):
```
data_La8AgPt6
_chemical_formula_sum 'La8 Ag1 Pt6'
_symmetry_space_group_name_H-M 'P -3'
_symmetry_Int_Tables_number 147
_cell_length_a 10.4005
_cell_length_b 10.4005
_cell_length_c 4.4365
_cell_angle_alpha 90.00
_cell_angle_beta 90.00
_cell_angle_gamma 120.00
loop_
_symmetry_equiv_pos_as_xyz
'x,y,z'
'-x,-y,-z'
'-y,x-y,z'
'y,-x+y,-z'
'-x+y,-x,z'
'x-y,x,-z'
loop_
_atom_site_label
_atom_site_type_symbol
_atom_site_fract_x
_atom_site_fract_y
_atom_site_fract_z
La1 La 0.0574 0.3162 0.2557
La2 La 0.3333 0.6667 0.7505
Ag1 Ag 0.0000 0.0000 0.0000
Pt1 Pt 0.0820 0.6129 0.2453
```

Output
Calculated formation energy: -0.880 eV per atom

Question: The highest calculated formation energy belongs to which entry?
Answer: La6AgPt

Question: The highest calculated formation energy belongs to which entry?
Answer: La6AgPt

Question: Which value of calculated formation energy does entry 3 give?
Answer: -0.658 eV per atom